This record from Alexandria describes a geometry-optimized Ti3VTc structure. The functional is GGA-PBE.

Cell lengths 4.6737, 4.6737, 4.6737 Å; angles 90.00, 90.00, 90.00 degrees
Last column: nearest neighbours and their distance in Å.
Fractional coordinates of all 5 atoms:
Tc1 0.0000 0.0000 0.0000  6 Ti 2.34
Ti1 0.0000 0.5000 0.0000  2 Tc 2.34
Ti2 0.5000 0.0000 0.0000  2 Tc 2.34
Ti3 0.0000 0.0000 0.5000  2 Tc 2.34
V1 0.5000 0.5000 0.5000  12 Ti 3.30

DFT formation energy   0.74 eV/atom
Crystal system   cubic
Space group   No. 221


This record from Alexandria describes a geometry-optimized Hf3Al2Zn structure. The functional is GGA-PBE.

Cell lengths 3.0161, 3.0161, 12.2490 Å; angles 90.00, 90.00, 90.00 degrees
Last column: nearest neighbours and their distance in Å.
Fractional coordinates of all 6 atoms:
Hf1 0.0000 0.0000 0.0000  8 Al 2.97, 4 Hf 3.02
Hf2 0.0000 0.0000 0.6635  4 Zn 2.93, 4 Al 2.96, 4 Hf 3.02
Hf3 0.0000 0.0000 0.3365  4 Zn 2.93, 4 Al 2.96, 4 Hf 3.02
Zn1 0.5000 0.5000 0.5000  8 Hf 2.93, 4 Zn 3.02
Al1 0.5000 0.5000 0.1693  8 Hf 2.96-2.97, 4 Al 3.02
Al2 0.5000 0.5000 0.8307  8 Hf 2.96-2.97, 4 Al 3.02

DFT formation energy   -0.29 eV/atom
Crystal system   tetragonal
Space group   No. 123